Entry from Alexandria via LeMat-Bulk: crystalline Sr2LaH2 at its relaxed geometry (PBEsol). Values from VASP.

space group: No. 139

Geometry as Quantum ESPRESSO input:
```
&SYSTEM
  ibrav = 0, nat = 5, ntyp = 3
/
ATOMIC_SPECIES
Sr 87.62 Sr.upf
H 1.01 H.upf
La 138.91 La.upf
CELL_PARAMETERS angstrom
3.850 0.000 0.000
0.000 3.850 0.000
-1.925 -1.925 9.170
ATOMIC_POSITIONS angstrom
Sr 0.000 0.000 6.013
H 1.925 0.000 4.585
H 0.000 1.925 4.585
Sr 1.925 1.925 3.157
La 0.000 0.000 0.000
```


Entry from Alexandria via LeMat-Bulk: crystalline Mg2CuNi2 at its relaxed geometry (PBEsol). Values from VASP.

space group: No. 127
formation enthalpy at 0 K: -0.07 eV/atom

Geometry as Quantum ESPRESSO input:
```
&SYSTEM
  ibrav = 0, nat = 10, ntyp = 3
/
ATOMIC_SPECIES
Cu 63.55 Cu.upf
Mg 24.30 Mg.upf
Ni 58.69 Ni.upf
CELL_PARAMETERS angstrom
-2.156 -2.030 -2.478
4.357 -4.145 -0.396
-2.452 -3.017 4.605
ATOMIC_POSITIONS angstrom
Cu 0.953 -3.581 2.105
Mg -0.171 -6.300 2.301
Cu 0.000 0.000 0.000
Mg -0.080 -2.892 -0.570
Ni 2.237 -5.505 2.563
Ni -0.332 -1.657 1.646
Mg -1.974 -3.765 1.793
Mg 1.723 -5.427 -0.062
Ni 2.429 -3.013 0.355
Ni -0.524 -4.149 3.854
```


Entry from Alexandria via LeMat-Bulk: crystalline TcP2Au at its relaxed geometry (PBEsol). Values from VASP.

energy above the lowest structure with this stoichiometry: 200 meV per atom
space group: No. 65
formation enthalpy at 0 K: 0.27 eV/atom

Geometry as Quantum ESPRESSO input:
```
&SYSTEM
  ibrav = 0, nat = 4, ntyp = 3
/
ATOMIC_SPECIES
Au 196.97 Au.upf
P 30.97 P.upf
Tc 98.00 Tc.upf
CELL_PARAMETERS angstrom
2.579 0.000 0.000
0.000 5.001 -0.052
0.000 -1.619 4.732
ATOMIC_POSITIONS angstrom
Au 0.000 1.691 2.340
P 0.000 2.500 -0.026
Tc 0.000 0.000 0.000
P 0.000 -0.810 2.366
```


Entry from Alexandria via LeMat-Bulk: crystalline KCl at its relaxed geometry (PBEsol). Values from VASP.

formation energy from raw total energies: -1940 meV per atom
space group: No. 225

Geometry as Quantum ESPRESSO input:
```
&SYSTEM
  ibrav = 0, nat = 2, ntyp = 2
/
ATOMIC_SPECIES
K 39.10 K.upf
Cl 35.45 Cl.upf
CELL_PARAMETERS angstrom
4.408 0.000 0.000
2.204 3.817 0.000
2.204 1.272 3.599
ATOMIC_POSITIONS angstrom
K 0.000 0.000 0.000
Cl 4.408 2.545 1.800
```


Entry from Alexandria via LeMat-Bulk: crystalline Mo2As at its relaxed geometry (PBEsol). Values from VASP.

space group: No. 194
formation enthalpy at 0 K: 0.53 eV/atom

Geometry as Quantum ESPRESSO input:
```
&SYSTEM
  ibrav = 0, nat = 6, ntyp = 2
/
ATOMIC_SPECIES
As 74.92 As.upf
Mo 95.94 Mo.upf
CELL_PARAMETERS angstrom
-3.193 -2.803 -0.808
1.517 0.448 4.026
-4.093 4.358 1.057
ATOMIC_POSITIONS angstrom
As -3.070 3.269 0.793
Mo -3.483 0.261 1.284
Mo -1.810 -1.521 0.851
As -1.023 1.090 0.264
Mo -2.286 1.742 2.991
Mo -3.960 3.524 3.424
```


Entry from Alexandria via LeMat-Bulk: crystalline CuPb3Cl2O4 at its relaxed geometry (PBEsol). Values from VASP.

formation energy from raw total energies: -903 meV per atom
space group: No. 11

Geometry as Quantum ESPRESSO input:
```
&SYSTEM
  ibrav = 0, nat = 20, ntyp = 4
/
ATOMIC_SPECIES
Cl 35.45 Cl.upf
O 16.00 O.upf
Pb 207.20 Pb.upf
Cu 63.55 Cu.upf
CELL_PARAMETERS angstrom
-0.623 2.921 4.567
5.436 -3.063 2.700
4.164 8.069 -4.592
ATOMIC_POSITIONS angstrom
Cl 8.298 5.204 -0.566
Cl 3.245 2.567 0.431
O 2.805 6.492 1.121
O 5.687 5.834 -2.944
O 3.599 0.642 3.351
Pb 7.010 7.918 0.783
O 2.954 5.385 -1.411
O 6.022 2.541 4.086
Cl 5.731 5.360 2.244
Pb 3.486 8.416 -0.016
Cu 1.770 5.495 -0.012
Pb 5.188 4.926 -0.812
O 3.289 2.092 5.619
Pb 3.788 3.001 3.488
O 5.378 7.285 -0.676
Cl 0.678 2.723 3.241
O 6.171 1.434 1.554
Pb 5.490 -0.489 2.692
Cu 2.082 4.035 -2.296
Pb 1.966 0.009 1.892
```


Going through the records in order, we get total magnetic moment values of 0.00 0.00 0.00 0.03 0.00 0.00 μB/cell.
Going through the records in order, we get energy values of -16.50 -40.89 -25.71 -7.02 -54.13 -100.75 eV/cell.